# 1
Entry from the Alexandria database: crystalline La2PmHoEr5 at its relaxed geometry (PBE-GGA).

Cell and atoms, written as POSCAR:
```
La2PmHoEr5
1.0
-4.326 4.326 7.849
4.326 -4.326 7.849
4.326 4.326 -7.849
La Pm Ho Er
4 2 2 10
Direct
0.117 0.617 0.735
0.383 0.117 0.500
0.617 0.883 0.500
0.883 0.383 0.265
0.250 0.250 0.000
0.750 0.750 0.000
0.250 0.750 0.500
0.750 0.250 0.500
0.000 0.000 0.000
0.074 0.143 0.500
0.143 0.643 0.069
0.357 0.426 0.500
0.426 0.926 0.069
0.500 0.500 0.000
0.574 0.074 0.931
0.643 0.574 0.500
0.857 0.357 0.931
0.926 0.857 0.500
```

Values from the calculation:
Size of the total moment   0.000 μB per atom
Energy of formation from the pure elements   0.259 eV/atom



# 2
Entry from the Alexandria database: crystalline K2BePb at its relaxed geometry (PBE-GGA).

Cell and atoms, written as POSCAR:
```
K2BePb
1.0
4.111 0.000 0.000
0.000 4.543 0.000
-2.001 0.000 9.091
K Be Pb
2 1 1
Direct
0.000 0.000 0.000
0.270 0.500 0.555
0.656 0.000 0.320
0.610 0.500 0.226
```

Values from the calculation:
Size of the total moment   0.000 μB per atom
ΔE to the lowest computed polymorph   129 meV/atom
Energy of formation from the pure elements   0.296 eV/atom



# 3
Entry from the Alexandria database: crystalline NbVTc at its relaxed geometry (PBE-GGA).

Cell and atoms, written as POSCAR:
```
NbVTc
1.0
-2.478 2.478 4.006
2.478 -2.478 4.006
2.478 2.478 -4.006
Nb V Tc
2 2 2
Direct
0.000 0.000 0.000
0.750 0.250 0.500
0.100 0.600 0.500
0.350 0.350 0.000
0.410 0.910 0.500
0.660 0.660 0.000
```

Values from the calculation:
Size of the total moment   0.000 μB per atom
ΔE to the lowest computed polymorph   724 meV/atom
Energy of formation from the pure elements   0.467 eV/atom



# 4
Entry from the Alexandria database: crystalline Mg4H5Ir at its relaxed geometry (PBE-GGA).

Cell and atoms, written as POSCAR:
```
Mg4H5Ir
1.0
4.756 0.000 0.000
0.000 5.548 0.000
-1.761 0.000 4.720
Mg H Ir
4 5 1
Direct
0.000 0.000 0.000
0.289 0.500 0.766
0.639 0.258 0.326
0.639 0.742 0.326
0.119 0.245 0.395
0.119 0.755 0.395
0.604 0.000 0.059
0.756 0.000 0.598
0.798 0.500 0.919
0.113 0.500 0.211
```

Values from the calculation:
Size of the total moment   0.000 μB per atom
ΔE to the lowest computed polymorph   42 meV/atom



# 5
Entry from the Alexandria database: crystalline Er2TiNi at its relaxed geometry (PBE-GGA).

Cell and atoms, written as POSCAR:
```
Er2TiNi
1.0
3.367 0.000 0.000
0.000 3.367 0.000
0.000 0.000 7.412
Er Ti Ni
2 1 1
Direct
0.000 0.000 0.220
0.000 0.000 0.780
0.500 0.500 0.500
0.500 0.500 0.000
```

Values from the calculation:
Size of the total moment   0.001 μB per atom
ΔE to the lowest computed polymorph   0 meV/atom
Energy of formation from the pure elements   -0.081 eV/atom



# 6
Entry from the Alexandria database: crystalline Hf2MgSb2 at its relaxed geometry (PBE-GGA).

Cell and atoms, written as POSCAR:
```
Hf2MgSb2
1.0
7.868 0.000 0.000
0.000 7.868 0.000
0.000 0.000 3.736
Hf Mg Sb
4 2 4
Direct
0.138 0.362 0.000
0.362 0.862 0.000
0.638 0.138 0.000
0.862 0.638 0.000
0.000 0.000 0.500
0.500 0.500 0.500
0.154 0.654 0.500
0.346 0.154 0.500
0.654 0.846 0.500
0.846 0.346 0.500
```

Values from the calculation:
Size of the total moment   0.000 μB per atom
ΔE to the lowest computed polymorph   0 meV/atom
Uncorrected formation energy   -29.86 kJ per mole of atoms



# 7
Entry from the Alexandria database: crystalline Pr3YEr3 at its relaxed geometry (PBE-GGA).

Cell and atoms, written as POSCAR:
```
Pr3YEr3
1.0
4.363 2.519 7.298
-4.363 2.519 7.298
0.000 -5.038 7.298
Pr Y Er
6 2 6
Direct
0.063 0.820 0.297
0.180 0.703 0.937
0.297 0.063 0.820
0.703 0.937 0.180
0.820 0.297 0.063
0.937 0.180 0.703
0.350 0.350 0.350
0.650 0.650 0.650
0.061 0.573 0.727
0.273 0.939 0.427
0.427 0.273 0.939
0.573 0.727 0.061
0.727 0.061 0.573
0.939 0.427 0.273
```

Values from the calculation:
Size of the total moment   0.000 μB per atom
ΔE to the lowest computed polymorph   235 meV/atom
Energy of formation from the pure elements   0.258 eV/atom



# 8
Entry from the Alexandria database: crystalline ZrHgPb2 at its relaxed geometry (PBE-GGA).

Cell and atoms, written as POSCAR:
```
ZrHgPb2
1.0
-2.266 2.266 4.910
2.266 -2.266 4.910
2.266 2.266 -4.910
Zr Hg Pb
1 1 2
Direct
0.000 0.000 0.000
0.500 0.500 0.000
0.250 0.750 0.500
0.750 0.250 0.500
```

Values from the calculation:
Size of the total moment   0.000 μB per atom
Energy of formation from the pure elements   0.009 eV/atom



# 9
Entry from the Alexandria database: crystalline RbMn3As3 at its relaxed geometry (PBE-GGA).

Cell and atoms, written as POSCAR:
```
RbMn3As3
1.0
3.416 1.972 8.557
-3.416 1.972 8.557
0.000 -3.944 8.557
Rb Mn As
2 6 6
Direct
0.165 0.165 0.165
0.835 0.835 0.835
0.029 0.718 0.348
0.282 0.652 0.971
0.348 0.029 0.718
0.652 0.971 0.282
0.718 0.348 0.029
0.971 0.282 0.652
0.068 0.411 0.709
0.291 0.932 0.589
0.411 0.709 0.068
0.589 0.291 0.932
0.709 0.068 0.411
0.932 0.589 0.291
```

Values from the calculation:
Size of the total moment   1.147 μB per atom
Energy of formation from the pure elements   -0.139 eV/atom



# 10
Entry from the Alexandria database: crystalline Tb2PrY2Er at its relaxed geometry (PBE-GGA).

Cell and atoms, written as POSCAR:
```
Tb2PrY2Er
1.0
6.545 0.000 0.000
0.000 17.874 0.000
0.000 0.000 3.421
Tb Pr Y Er
4 2 4 2
Direct
0.218 0.147 0.000
0.282 0.647 0.500
0.718 0.353 0.500
0.782 0.853 0.000
0.000 0.500 0.500
0.500 0.000 0.000
0.221 0.313 0.500
0.279 0.813 0.000
0.721 0.187 0.000
0.779 0.687 0.500
0.000 0.000 0.500
0.500 0.500 0.000
```

Values from the calculation:
Size of the total moment   0.002 μB per atom
Energy of formation from the pure elements   0.265 eV/atom



# 11
Entry from the Alexandria database: crystalline HfSc5N6 at its relaxed geometry (PBE-GGA).

Cell and atoms, written as POSCAR:
```
HfSc5N6
1.0
2.767 -4.789 0.000
2.767 4.789 0.000
-1.845 0.000 5.218
Hf Sc N
1 5 6
Direct
0.000 0.000 0.000
0.168 0.832 0.500
0.334 0.666 0.000
0.500 0.500 0.500
0.666 0.334 0.000
0.832 0.168 0.500
0.083 0.411 0.248
0.246 0.246 0.753
0.411 0.083 0.248
0.589 0.917 0.752
0.754 0.754 0.247
0.917 0.589 0.752
```

Values from the calculation:
Size of the total moment   0.000 μB per atom
Uncorrected formation energy   -188.64 kJ per mole of atoms



# 12
Entry from the Alexandria database: crystalline CdFe3As at its relaxed geometry (PBE-GGA).

Cell and atoms, written as POSCAR:
```
CdFe3As
1.0
4.744 0.000 0.000
0.000 4.744 0.000
0.000 0.000 4.744
Cd Fe As
1 3 1
Direct
0.000 0.000 0.000
0.000 0.000 0.500
0.000 0.500 0.000
0.500 0.000 0.000
0.500 0.500 0.500
```

Values from the calculation:
Size of the total moment   1.809 μB per atom
ΔE to the lowest computed polymorph   1023 meV/atom
Energy of formation from the pure elements   1.614 eV/atom



Question: Look up the size of the total moment of the tenth one.
Answer: 0.002 μB per atom



Question: size of the total moment of number 11 (HfSc5N6)?
Answer: 0.000 μB per atom



Question: Which formula does entry 1 have?
Answer: La2PmHoEr5



Question: What is the size of the total moment in the tenth record?
Answer: 0.002 μB per atom